Nd8Y5Sc after structural relaxation, computed with GGA-PBE.

```
Nd8Y5Sc
1.0
-4.866 4.866 5.103
4.866 -4.866 5.103
4.866 4.866 -5.103
Nd Y Sc
8 5 1
Direct
0.079 0.344 0.603 Nd
0.165 0.440 0.098 Nd
0.343 0.067 0.902 Nd
0.524 0.921 0.265 Nd
0.560 0.657 0.724 Nd
0.656 0.259 0.735 Nd
0.741 0.476 0.397 Nd
0.933 0.835 0.276 Nd
0.028 0.720 0.902 Y
0.280 0.182 0.308 Y
0.500 0.500 0.000 Y
0.818 0.126 0.098 Y
0.874 0.972 0.692 Y
0.250 0.750 0.500 Sc
```

Output
Its density of states at the Fermi level is 22.21 states/eV/cell. Its space group is I-4, No. 82. The calculation puts the formation enthalpy at 0 K at 0.27 eV/atom. The value obtained for the magnetic moment is 0.00 μB per cell.

DyTl2SnF6 after structural relaxation, computed with GGA-PBE.

```
DyTl2SnF6
1.0
5.934 0.000 0.000
0.000 8.770 0.000
0.000 0.000 8.252
Dy Tl Sn F
2 4 2 12
Direct
0.250 0.250 0.162 Dy
0.750 0.750 0.838 Dy
0.250 0.051 0.591 Tl
0.250 0.449 0.591 Tl
0.750 0.551 0.409 Tl
0.750 0.949 0.409 Tl
0.250 0.750 0.225 Sn
0.750 0.250 0.775 Sn
0.012 0.750 0.029 F
0.013 0.250 0.362 F
0.250 0.001 0.168 F
0.250 0.499 0.168 F
0.487 0.250 0.362 F
0.488 0.750 0.029 F
0.512 0.250 0.971 F
0.513 0.750 0.638 F
0.750 0.501 0.832 F
0.750 0.999 0.832 F
0.987 0.750 0.638 F
0.988 0.250 0.971 F
```

Output
Its density of states at the Fermi level is 3.37 states/eV/cell. Its uncorrected formation energy is -2582 meV per atom. Its space group is Pmmn, No. 59. The value obtained for the magnetic moment is 0.00 μB per cell.

ZnAgC2 after structural relaxation, computed with GGA-PBE.

```
ZnAgC2
1.0
-2.447 2.447 4.643
2.447 -2.447 4.643
2.447 2.447 -4.643
Zn Ag C
2 2 4
Direct
0.000 0.000 0.000 Zn
0.750 0.250 0.500 Zn
0.250 0.750 0.500 Ag
0.500 0.500 0.000 Ag
0.111 0.625 0.986 C
0.375 0.361 0.486 C
0.639 0.125 0.014 C
0.875 0.889 0.514 C
```

Output
Its density of states at the Fermi level is 5.51 states/eV/cell. Its space group is I-42d, No. 122. The calculation puts the formation enthalpy at 0 K at 1.97 eV/atom. The value obtained for the magnetic moment is 0.00 μB per cell.

LiAc2In3Ag4 after structural relaxation, computed with GGA-PBE.

```
LiAc2In3Ag4
1.0
4.742 0.000 0.000
0.000 4.742 0.000
0.000 0.000 11.389
Li Ac In Ag
1 2 3 4
Direct
0.000 0.000 0.000 Li
0.000 0.500 0.740 Ac
0.500 0.000 0.260 Ac
0.000 0.500 0.368 In
0.500 0.000 0.632 In
0.500 0.500 0.000 In
0.000 0.000 0.500 Ag
0.000 0.500 0.128 Ag
0.500 0.000 0.872 Ag
0.500 0.500 0.500 Ag
```

Output
Its density of states at the Fermi level is 5.94 states/eV/cell. Its space group is P-4m2, No. 115. The calculation puts the formation enthalpy at 0 K at -0.29 eV/atom. The value obtained for the magnetic moment is 0.00 μB per cell.

Zr2ScZn4 after structural relaxation, computed with GGA-PBE.

```
Zr2ScZn4
1.0
-2.313 2.313 6.524
2.313 -2.313 6.524
2.313 2.313 -6.524
Zr Sc Zn
2 1 4
Direct
0.246 0.246 0.000 Zr
0.754 0.754 0.000 Zr
0.500 0.500 0.000 Sc
0.114 0.614 0.500 Zn
0.386 0.886 0.500 Zn
0.614 0.114 0.500 Zn
0.886 0.386 0.500 Zn
```

Output
Its density of states at the Fermi level is 7.20 states/eV/cell. Its space group is I4/mmm, No. 139. The calculation puts the formation enthalpy at 0 K at -0.07 eV/atom. The value obtained for the magnetic moment is 0.00 μB per cell.

VSiBr2 after structural relaxation, computed with GGA-PBE.

```
VSiBr2
1.0
-4.687 4.687 2.454
4.687 -4.687 2.454
4.687 4.687 -2.454
V Si Br
2 2 4
Direct
0.000 0.000 0.000 V
0.750 0.250 0.500 V
0.250 0.750 0.500 Si
0.500 0.500 0.000 Si
0.375 0.026 0.151 Br
0.776 0.625 0.651 Br
0.875 0.224 0.849 Br
0.974 0.125 0.349 Br
```

Output
Its density of states at the Fermi level is 4.49 states/eV/cell. Its uncorrected formation energy is 66 meV per atom. Its space group is I-42d, No. 122. The value obtained for the magnetic moment is 5.72 μB per cell.

LaGa4Ge after structural relaxation, computed with GGA-PBE.

```
LaGa4Ge
1.0
0.000 3.975 3.975
3.975 0.000 3.975
3.975 3.975 0.000
La Ga Ge
1 4 1
Direct
0.000 0.000 0.000 La
0.376 0.376 0.376 Ga
0.376 0.376 0.872 Ga
0.376 0.872 0.376 Ga
0.872 0.376 0.376 Ga
0.750 0.750 0.750 Ge
```

Output
Its density of states at the Fermi level is 5.16 states/eV/cell. Its space group is F-43m, No. 216. The calculation puts the formation enthalpy at 0 K at -0.21 eV/atom. The value obtained for the magnetic moment is 0.00 μB per cell.

Li8Al after structural relaxation, computed with GGA-PBE.

```
Li8Al
1.0
-5.015 5.015 1.652
5.015 -5.015 1.652
5.015 5.015 -1.652
Li Al
8 1
Direct
0.000 0.327 0.327 Li
0.000 0.673 0.673 Li
0.327 0.000 0.327 Li
0.339 0.339 0.679 Li
0.339 0.661 0.000 Li
0.661 0.339 0.000 Li
0.661 0.661 0.321 Li
0.673 0.000 0.673 Li
0.000 0.000 0.000 Al
```

Output
Its density of states at the Fermi level is 3.48 states/eV/cell. Its space group is I4/mmm, No. 139. The calculation puts the formation enthalpy at 0 K at -0.03 eV/atom. The value obtained for the magnetic moment is 0.00 μB per cell.

Tb2TlBi after structural relaxation, computed with GGA-PBE.

```
Tb2TlBi
1.0
2.099 1.212 8.383
-2.099 1.212 8.383
0.000 -2.424 8.383
Tb Tl Bi
2 1 1
Direct
0.000 0.000 0.000 Tb
0.177 0.177 0.177 Tb
0.756 0.756 0.756 Tl
0.587 0.587 0.587 Bi
```

Output
Its density of states at the Fermi level is 2.34 states/eV/cell. Its space group is R3m, No. 160. The calculation puts the formation enthalpy at 0 K at -0.43 eV/atom. The value obtained for the magnetic moment is 0.00 μB per cell.

Tb4Dy5Al after structural relaxation, computed with GGA-PBE.

```
Tb4Dy5Al
1.0
3.542 0.000 0.000
0.000 3.542 0.000
0.000 0.000 24.044
Tb Dy Al
4 5 1
Direct
0.000 0.000 0.105 Tb
0.000 0.000 0.315 Tb
0.000 0.000 0.685 Tb
0.000 0.000 0.895 Tb
0.500 0.500 0.000 Dy
0.500 0.500 0.210 Dy
0.500 0.500 0.421 Dy
0.500 0.500 0.579 Dy
0.500 0.500 0.790 Dy
0.000 0.000 0.500 Al
```

Output
Its density of states at the Fermi level is 13.49 states/eV/cell. Its space group is P4/mmm, No. 123. The calculation puts the formation enthalpy at 0 K at -0.06 eV/atom. The value obtained for the magnetic moment is 0.00 μB per cell.

Sr2HgIr after structural relaxation, computed with GGA-PBE.

```
Sr2HgIr
1.0
-4.317 4.317 3.136
4.317 -4.317 3.136
4.317 4.317 -3.136
Sr Hg Ir
4 2 2
Direct
0.071 0.625 0.946 Sr
0.375 0.321 0.446 Sr
0.679 0.125 0.054 Sr
0.875 0.929 0.554 Sr
0.250 0.750 0.500 Hg
0.500 0.500 0.000 Hg
0.000 0.000 0.000 Ir
0.750 0.250 0.500 Ir
```

Output
Its density of states at the Fermi level is 4.67 states/eV/cell. Its space group is I-42d, No. 122. The calculation puts the formation enthalpy at 0 K at 0.06 eV/atom. The value obtained for the magnetic moment is 0.00 μB per cell.

UCu2PbO8 after structural relaxation, computed with GGA-PBE.

```
UCu2PbO8
1.0
-3.379 3.379 3.452
3.379 -3.379 3.452
3.379 3.379 -3.452
U Cu Pb O
1 2 1 8
Direct
0.000 0.000 0.000 U
0.500 0.500 0.000 Cu
0.750 0.250 0.500 Cu
0.250 0.750 0.500 Pb
0.294 0.117 0.824 O
0.294 0.470 0.176 O
0.357 0.052 0.305 O
0.530 0.706 0.824 O
0.747 0.052 0.695 O
0.883 0.706 0.176 O
0.948 0.253 0.305 O
0.948 0.643 0.695 O
```

Output
Its density of states at the Fermi level is 9.53 states/eV/cell. Its uncorrected formation energy is -1190 meV per atom. Its space group is I-4m2, No. 119. The value obtained for the magnetic moment is 2.95 μB per cell.